This record from Alexandria describes Cr2CdRh after structural relaxation. The functional is GGA-PBE.

```
Cr2CdRh
1.0
2.6862 0.0000 0.0000
0.0000 2.6862 0.0000
0.0000 0.0000 7.9672
Cr Cd Rh
2 1 1
Cartesian
0.0000 0.0000 3.7933
0.0000 0.0000 0.1904
1.3431 1.3431 5.9754
1.3431 1.3431 1.9918
```

**Formation energy**: 0.344 eV/atom
**SG**: P4/mmm
**D(E_F)**: 0.7093 states/eV/atom